SrLiCu: optimized geometry, GGA-PBEsol.

Computed properties:
Formation energy from the elements (eV per atom): 0.08

Geometry as POSCAR:
```
SrLiCu
1.0
4.4374 0.0000 0.0000
-2.2187 3.8429 0.0000
0.0000 0.0000 4.3034
Sr Li Cu
1 1 1
direct
0.0000 0.0000 0.0000
0.6667 0.3333 0.5000
0.3333 0.6667 0.5000
```